A geometry-optimized Mg2Co3Ni structure. Source: Alexandria via LeMat-Bulk, functional PBE.

## Properties
Space-group type: C2/m (12)
Density of states at the Fermi level (states/eV per cell): 7.0
Calculated formation energy (eV per atom): -0.06
Raw total energy (eV/atom): -5.1060

Lattice parameters (Å, degrees): 4.776 4.776 4.913 119.18 119.18 59.66
Positions (direct):
Mg (0.125, 0.125, 0.374)
Mg (0.875, 0.875, 0.626)
Co (0.000, 0.500, 0.000)
Co (0.500, 0.000, 0.000)
Co (0.500, 0.500, 0.000)
Ni (0.500, 0.500, 0.500)